# AlMoSCl2 GGA-PBE optimized geometry
# Space group: P4/mmm
# Uncorrected formation energy in eV per atom: 0.09
# E_tot in eV per atom: -4.393
data_AlMoSCl2
_space_group_name_H-M_alt 'P 1'
_space_group_IT_number 1
_cell_length_a 4.650
_cell_length_b 4.650
_cell_length_c 4.876
_cell_angle_alpha 90.00
_cell_angle_beta 90.00
_cell_angle_gamma 90.00
loop_
_space_group_symop_operation_xyz
'x,y,z'
loop_
_atom_site_label
_atom_site_type_symbol
_atom_site_fract_x
_atom_site_fract_y
_atom_site_fract_z
Cl1 Cl 0.000 0.500 0.000
Cl2 Cl 0.500 0.000 0.000
Mo1 Mo 0.500 0.500 0.500
Al1 Al 0.000 0.000 0.000
S1 S 0.000 0.000 0.500